No. 1
Dy3CdHg12 (PBE-GGA, optimized geometry); mass density = 12859 kg/m3; E_form = -0.24 eV/atom; spin magnetization = 0.00 μB per formula unit
1.0
4.6519 0.0000 0.0000
0.0000 4.6519 0.0000
0.0000 0.0000 17.9440
Dy Cd Hg
3 1 12
Cartesian
0.0000 0.0000 0.0000
0.0000 0.0000 4.6506
0.0000 0.0000 13.2934
0.0000 0.0000 8.9720
0.0000 2.3260 2.2736
0.0000 2.3260 6.7798
0.0000 2.3260 11.1641
0.0000 2.3260 15.6704
2.3260 0.0000 2.2736
2.3260 0.0000 6.7798
2.3260 0.0000 11.1641
2.3260 0.0000 15.6704
2.3260 2.3260 0.0000
2.3260 2.3260 4.4850
2.3260 2.3260 8.9720
2.3260 2.3260 13.4589

No. 2
DyCd3Hg3 (PBE-GGA, optimized geometry); mass density = 8696 kg/m3; E_form = 0.08 eV/atom; spin magnetization = 0.00 μB per formula unit
1.0
5.9470 0.0000 0.0000
0.0000 5.9470 0.0000
0.0000 0.0000 5.9470
Dy Cd Hg
1 3 3
Cartesian
0.0000 0.0000 0.0000
0.0000 2.9735 2.9735
2.9735 0.0000 2.9735
2.9735 2.9735 0.0000
0.0000 0.0000 2.9735
0.0000 2.9735 0.0000
2.9735 0.0000 0.0000

No. 3
DyCd5Hg6 (PBE-GGA, optimized geometry); mass density = 11291 kg/m3; E_form = -0.10 eV/atom; spin magnetization = 0.00 μB per formula unit
1.0
2.3024 -7.0627 0.0000
2.3024 7.0627 0.0000
-0.1851 0.0000 8.7186
Dy Cd Hg
1 5 6
Cartesian
0.0000 0.0000 0.0000
-0.0925 0.0000 4.3593
2.3024 2.4162 0.0000
2.2099 2.4106 4.3593
2.3024 -2.4162 0.0000
2.2099 -2.4106 4.3593
2.2550 4.7173 2.1961
2.1647 4.7173 6.5225
2.1512 0.0000 6.4923
2.2686 0.0000 2.2263
2.2550 -4.7173 2.1961
2.1647 -4.7173 6.5225

No. 4
Dy2Cd2Hg (PBE-GGA, optimized geometry); mass density = 9371 kg/m3; E_form = -0.17 eV/atom; spin magnetization = 0.00 μB per formula unit
1.0
-3.1578 7.1539 2.9430
3.1578 -7.1539 2.9430
3.1578 7.1539 -2.9430
Dy Cd Hg
4 4 2
Cartesian
1.0959 2.5275 0.0000
4.2538 4.6264 0.0000
-1.0959 2.5275 2.9430
2.0619 4.6264 2.9430
4.0572 1.4156 0.0000
0.8993 5.7383 0.0000
2.2585 1.4156 2.9430
-0.8993 5.7383 2.9430
0.0000 0.0000 1.4715
0.0000 0.0000 4.4146

No. 5
Dy2CdHg6 (PBE-GGA, optimized geometry); mass density = 12700 kg/m3; E_form = -0.28 eV/atom; spin magnetization = 0.00 μB per formula unit
1.0
4.4413 -2.5676 0.0000
4.4413 2.5676 0.0000
-0.0217 0.0000 9.4070
Dy Cd Hg
2 1 6
Cartesian
1.4720 0.0000 2.5465
7.3889 0.0000 6.8605
4.4304 0.0000 4.7035
1.4685 0.0000 5.6527
1.4610 0.0000 8.7569
4.4352 0.0000 1.5565
4.4257 0.0000 7.8505
7.3999 0.0000 0.6501
7.3924 0.0000 3.7543

No. 6
DyCd4Hg (PBE-GGA, optimized geometry); mass density = 9264 kg/m3; E_form = -0.06 eV/atom; spin magnetization = 0.00 μB per formula unit
1.0
0.0000 4.1763 4.1763
4.1763 0.0000 4.1763
4.1763 4.1763 0.0000
Dy Cd Hg
1 4 1
Cartesian
0.0000 0.0000 0.0000
3.1275 3.1275 3.1275
5.2251 5.2251 3.1275
5.2251 3.1275 5.2251
3.1275 5.2251 5.2251
6.2644 6.2644 6.2644

No. 7
Dy2CdHg4 (PBE-GGA, optimized geometry); mass density = 11383 kg/m3; E_form = -0.29 eV/atom; spin magnetization = 0.00 μB per formula unit
1.0
2.5039 1.4456 8.3270
-2.5039 1.4456 8.3270
0.0000 -2.8913 8.3270
Dy Cd Hg
2 1 4
Cartesian
0.0000 0.0000 6.1771
0.0000 0.0000 18.8039
0.0000 0.0000 12.4905
0.0000 0.0000 2.9878
0.0000 0.0000 9.2467
0.0000 0.0000 15.7343
0.0000 0.0000 21.9931

No. 8
DyCdInHg (PBE-GGA, optimized geometry); mass density = 10089 kg/m3; E_form = -0.34 eV/atom; spin magnetization = 0.00 μB per formula unit
1.0
4.3032 0.0000 0.0000
0.0000 4.7498 0.0000
0.0000 0.0000 4.7536
Dy Cd In Hg
1 1 1 1
Cartesian
0.0000 0.0000 0.0000
0.0000 2.3749 2.3768
2.1516 2.3749 0.0000
2.1516 0.0000 2.3768

No. 9
DyCdInHg (PBE-GGA, optimized geometry); mass density = 10096 kg/m3; E_form = -0.30 eV/atom; spin magnetization = 0.00 μB per formula unit
1.0
0.0000 3.6479 3.6479
3.6479 0.0000 3.6479
3.6479 3.6479 0.0000
Dy Cd In Hg
1 1 1 1
Cartesian
0.0000 0.0000 0.0000
3.6479 3.6479 3.6479
5.4719 5.4719 5.4719
1.8240 1.8240 1.8240

No. 10
DyCd3In2Hg4 (PBE-GGA, optimized geometry); mass density = 9161 kg/m3; E_form = 0.00 eV/atom; spin magnetization = 0.00 μB per formula unit
1.0
4.4628 0.0000 0.0000
0.0000 4.4628 0.0000
0.0000 0.0000 13.9397
Dy Cd In Hg
1 3 2 4
Cartesian
0.0000 0.0000 0.0000
0.0000 2.2314 4.9194
2.2314 0.0000 9.0203
2.2314 2.2314 0.0000
0.0000 2.2314 11.0178
2.2314 0.0000 2.9219
0.0000 0.0000 6.9698
0.0000 2.2314 2.1267
2.2314 0.0000 11.8130
2.2314 2.2314 6.9698

No. 11
DyCdHgIr (PBE-GGA, optimized geometry); mass density = 13323 kg/m3; E_form = -0.26 eV/atom; spin magnetization = 0.00 μB per formula unit
1.0
0.0000 3.4653 3.4653
3.4653 0.0000 3.4653
3.4653 3.4653 0.0000
Dy Cd Hg Ir
1 1 1 1
Cartesian
0.0000 0.0000 0.0000
3.4653 3.4653 3.4653
1.7326 1.7326 1.7326
5.1979 5.1979 5.1979

No. 12
LiDyCdHg (PBE-GGA, optimized geometry); mass density = 8923 kg/m3; E_form = -0.36 eV/atom; spin magnetization = 0.00 μB per formula unit
1.0
0.0000 3.5539 3.5539
3.5539 0.0000 3.5539
3.5539 3.5539 0.0000
Li Dy Cd Hg
1 1 1 1
Cartesian
0.0000 0.0000 0.0000
3.5539 3.5539 3.5539
1.7770 1.7770 1.7770
5.3309 5.3309 5.3309

No. 13
Li2DyCd2Hg2 (PBE-GGA, optimized geometry); mass density = 8933 kg/m3; E_form = -0.32 eV/atom; spin magnetization = 0.00 μB per formula unit
1.0
4.2239 -2.4559 0.0000
4.2239 2.4559 0.0000
-2.8689 0.0000 7.1889
Li Dy Cd Hg
2 1 2 2
Cartesian
-0.0224 0.0000 3.2406
5.6014 0.0000 3.9483
0.0000 0.0000 0.0000
2.8027 0.0000 2.0933
2.7763 0.0000 5.0956
-0.0444 0.0000 5.9080
5.6234 0.0000 1.2809

No. 14
LiDyCd2Hg4 (PBE-GGA, optimized geometry); mass density = 11124 kg/m3; E_form = -0.27 eV/atom; spin magnetization = 0.00 μB per formula unit
1.0
2.4887 1.4369 8.3254
-2.4887 1.4369 8.3254
0.0000 -2.8737 8.3254
Li Dy Cd Hg
1 1 2 4
Cartesian
0.0000 0.0000 0.0000
0.0000 0.0000 12.4882
0.0000 0.0000 6.2188
0.0000 0.0000 18.7575
0.0000 0.0000 2.9613
0.0000 0.0000 9.2374
0.0000 0.0000 15.7389
0.0000 0.0000 22.0150

No. 15
DyLuCdHg (PBE-GGA, optimized geometry); mass density = 10714 kg/m3; E_form = -0.39 eV/atom; spin magnetization = 0.02 μB per formula unit
1.0
0.0000 3.6940 3.6940
3.6940 0.0000 3.6940
3.6940 3.6940 0.0000
Dy Lu Cd Hg
1 1 1 1
Cartesian
0.0000 0.0000 0.0000
3.6940 3.6940 3.6940
5.5410 5.5410 5.5410
1.8470 1.8470 1.8470

No. 16
NaDyCdHg (PBE-GGA, optimized geometry); mass density = 8370 kg/m3; E_form = -0.24 eV/atom; spin magnetization = 0.00 μB per formula unit
1.0
0.0000 3.6704 3.6704
3.6704 0.0000 3.6704
3.6704 3.6704 0.0000
Na Dy Cd Hg
1 1 1 1
Cartesian
0.0000 0.0000 0.0000
3.6704 3.6704 3.6704
5.5056 5.5056 5.5056
1.8352 1.8352 1.8352

No. 17
NaDyCd2Hg4 (PBE-GGA, optimized geometry); mass density = 10742 kg/m3; E_form = -0.25 eV/atom; spin magnetization = 0.00 μB per formula unit
1.0
2.5366 1.4645 8.4100
-2.5366 1.4645 8.4100
0.0000 -2.9290 8.4100
Na Dy Cd Hg
1 1 2 4
Cartesian
0.0000 0.0000 0.0000
0.0000 0.0000 12.6150
0.0000 0.0000 6.3127
0.0000 0.0000 18.9174
0.0000 0.0000 3.1139
0.0000 0.0000 9.4339
0.0000 0.0000 15.7961
0.0000 0.0000 22.1162

No. 18
NdDyCdHg (PBE-GGA, optimized geometry); mass density = 9453 kg/m3; E_form = -0.39 eV/atom; spin magnetization = 0.77 μB per formula unit
1.0
0.0000 3.7898 3.7898
3.7898 0.0000 3.7898
3.7898 3.7898 0.0000
Nd Dy Cd Hg
1 1 1 1
Cartesian
0.0000 0.0000 0.0000
3.7898 3.7898 3.7898
1.8949 1.8949 1.8949
5.6847 5.6847 5.6847

No. 19
Dy4CdNiHg2 (PBE-GGA, optimized geometry); mass density = 10472 kg/m3; E_form = -0.40 eV/atom; spin magnetization = 0.00 μB per formula unit
1.0
2.5896 1.4951 8.3433
-2.5896 1.4951 8.3433
0.0000 -2.9902 8.3433
Dy Cd Ni Hg
4 1 1 2
Cartesian
0.0000 0.0000 2.8603
0.0000 0.0000 9.2024
0.0000 0.0000 15.8275
0.0000 0.0000 22.1696
0.0000 0.0000 12.5150
0.0000 0.0000 0.0000
0.0000 0.0000 6.0379
0.0000 0.0000 18.9920

No. 20
DyCdHgPb (PBE-GGA, optimized geometry); mass density = 11228 kg/m3; E_form = -0.34 eV/atom; spin magnetization = 0.00 μB per formula unit
1.0
4.4255 0.0000 0.0000
0.0000 4.6550 0.0000
0.0000 0.0000 4.9012
Dy Cd Hg Pb
1 1 1 1
Cartesian
0.0000 0.0000 0.0000
0.0000 2.3275 2.4506
2.2128 0.0000 2.4506
2.2128 2.3275 0.0000